1.
The following is a DFT calculation (PBE-GGA) of a geometry-optimized NdCd3Ag3 structure.

The calculation puts the polymorph energy (0 for the lowest one) at 0.000 eV per atom. The energy of formation from the pure elements is -138 meV/atom. Its uncorrected energy is -2.433 eV per atom.

It has space group R-3 (No. 148, hexagonal axes), with a = 7.4328 Å, b = 7.4328 Å, c = 19.7630 Å, α = 90.00°, β = 90.00° and γ = 120.00°. The inequivalent atoms are Nd at (0.0000, 0.0000, 0.1550), Cd at (0.0453, 0.6036, 0.3746) and Ag at (0.0042, 0.7759, 0.5603).

***

2.
The following is a DFT calculation (PBE-GGA) of a geometry-optimized NdCd5Ag2 structure.

The energy of formation from the pure elements is -155 meV/atom. Its uncorrected energy is -2.036 eV per atom.

It has space group Immm (No. 71), with a = 3.479 Å, b = 9.059 Å, c = 11.503 Å, α = 90.00°, β = 90.00° and γ = 90.00°. The inequivalent atoms are Nd at (0.000, 0.000, 0.000), Cd at (0.000, 0.221, 0.365), Cd at (0.000, 0.500, 0.000) and Ag at (0.000, 0.500, 0.254).

***

3.
The following is a DFT calculation (PBE-GGA) of a geometry-optimized Nd6CdAg structure.

The calculation puts the polymorph energy (0 for the lowest one) at 0.000 eV per atom. The energy of formation from the pure elements is -126 meV/atom. Its uncorrected energy is -4.173 eV per atom.

It has space group I4/mmm (No. 139), with a = 5.274 Å, b = 5.274 Å, c = 18.098 Å, α = 90.00°, β = 90.00° and γ = 90.00°. The inequivalent atoms are Nd at (0.000, 0.000, 0.249), Nd at (0.000, 0.500, 0.109), Cd at (0.000, 0.000, 0.000) and Ag at (0.000, 0.000, 0.500).

***

4.
The following is a DFT calculation (PBE-GGA) of a geometry-optimized Nd6CdAg3 structure.

The energy of formation from the pure elements is -154 meV/atom. Its uncorrected energy is -3.962 eV per atom.

It has space group P2_1/m (No. 11), with a = 9.682 Å, b = 5.260 Å, c = 11.475 Å, α = 90.00°, β = 103.49° and γ = 90.00°. The inequivalent atoms are Nd at (0.036, 0.250, 0.402), Nd at (0.131, 0.750, 0.192), Nd at (0.244, 0.250, 0.988), Nd at (0.337, 0.750, 0.802), Nd at (0.355, 0.250, 0.293), Nd at (0.414, 0.250, 0.591), Cd at (0.444, 0.750, 0.113), Ag at (0.039, 0.750, 0.897), Ag at (0.144, 0.250, 0.698) and Ag at (0.262, 0.750, 0.476).